Computed, not measured: crystalline Cs2RbV2F7 at its relaxed geometry at the PBE with a Hubbard U level of DFT.

Space-group type: I4/mmm, No. 139
VASP energy (eV per atom): -5.3012

a = 4.3150 Å, b = 4.3150 Å, c = 12.1467 Å
α = 79.79°, β = 79.79°, γ = 90.04°
Closest atoms and distances in Å follow each position.
Atoms (fractional coordinates):
Cs (0.8155, 0.8155, 0.3696)  9 F 3.05-3.15
Cs (0.1845, 0.1845, 0.6304)  9 F 3.05-3.15
Rb (0.0000, 0.0000, 0.0000)  12 F 3.02-3.05
V (0.5905, 0.5905, 0.8184)  6 F 2.13-2.16
V (0.4095, 0.4095, 0.1816)  6 F 2.13-2.16
F (0.5000, 0.5000, 0.0000)  2 V 2.14
F (0.3191, 0.3191, 0.3626)  1 V 2.13
F (0.6809, 0.6809, 0.6374)  1 V 2.13
F (0.9104, 0.4104, 0.1798)  2 V 2.16
F (0.4104, 0.9104, 0.1798)  2 V 2.16
F (0.5896, 0.0896, 0.8202)  2 V 2.16
F (0.0896, 0.5896, 0.8202)  2 V 2.16